Below is a relaxed structure of Sr2TlZn, with properties calculated at the GGA-PBE level.

```
Sr2TlZn
1.0
-1.990 3.385 6.627
1.990 -3.385 6.627
1.990 3.385 -6.627
Sr Tl Zn
2 1 1
Direct
0.237 0.237 0.000
0.763 0.763 0.000
0.500 0.500 0.000
0.000 0.000 0.000
```

V   178.6 Å³ per cell
Fermi-level density of states   5.054 states/eV/f.u.
Formation energy from the elements   0.366 eV/atom

---

Below is a relaxed structure of LiSb2As, with properties calculated at the GGA-PBE level.

```
LiSb2As
1.0
0.000 3.607 3.607
3.607 0.000 3.607
3.607 3.607 0.000
Li Sb As
1 2 1
Direct
0.000 0.000 0.000
0.250 0.250 0.250
0.500 0.500 0.500
0.750 0.750 0.750
```

Total DFT energy (no corrections)   -3.63 eV per atom
V   93.9 Å³ per cell
Fermi-level density of states   1.511 states/eV/f.u.